Crystalline CaZr2Ta at its relaxed geometry, computed with PBE.

Geometry as CIF:
```
data_CaZr2Ta
_cell_length_a 6.491
_cell_length_b 9.194
_cell_length_c 3.112
_cell_angle_alpha 90.00
_cell_angle_beta 90.00
_cell_angle_gamma 90.00
_space_group_name_H-M_alt 'C m m m'
_space_group_IT_number 65
_space_group_name_Hall '-C 2 2'
loop_
_atom_site_label
_atom_site_fract_x
_atom_site_fract_y
_atom_site_fract_z
_atom_site_occupancy
Ca1 0.000 0.000 0.000 1
Zr1 0.250 0.250 0.500 1
Ta1 0.000 0.500 0.000 1
```

Computed properties:
**E_form**: 469 meV/atom
**M_tot**: 0.00 Bohr magnetons per cell
**E above lowest polymorph**: 1.00 eV/f.u.